# 1
Density functional theory data (PBE) for MgGa3Ir2 after structural relaxation.

extended XYZ file:
```
12
Lattice="4.510 -4.263 0.000 4.510 4.263 0.000 0.000 0.000 5.710" Properties=species:S:1:pos:R:3 pbc="T T T"
Mg 4.510 4.221 4.283
Mg 4.510 -4.221 1.428
Ga 2.289 2.135 1.428
Ga 6.731 2.135 1.428
Ga 4.510 0.029 4.283
Ga 4.510 -0.029 1.428
Ga 2.289 -2.135 4.283
Ga 6.731 -2.135 4.283
Ir 2.384 0.000 0.000
Ir 2.384 0.000 2.855
Ir 6.635 0.000 0.000
Ir 6.635 0.000 2.855
```

Output
* M_tot: 0.00 μB per formula unit
* ΔH_f (0 K): -2.481 eV per formula unit
* SG: Cmcm (63)


# 2
Density functional theory data (PBE) for CrSiGeS2 after structural relaxation.

extended XYZ file:
```
5
Lattice="4.609 0.000 0.000 0.000 4.609 0.000 0.000 0.000 4.655" Properties=species:S:1:pos:R:3 pbc="T T T"
Cr 0.000 0.000 0.000
Si 2.305 2.305 2.327
Ge 2.305 2.305 0.000
S 0.000 2.305 2.327
S 2.305 0.000 2.327
```

Output
* M_tot: 4.30 μB per formula unit
* formation energy without anion corrections: 0.569 eV/atom
* SG: P4/mmm (123)


# 3
Density functional theory data (PBE) for LaRh2W after structural relaxation.

extended XYZ file:
```
8
Lattice="-2.991 2.991 6.091 2.991 -2.991 6.091 2.991 2.991 -6.091" Properties=species:S:1:pos:R:3 pbc="T T T"
La 0.000 0.000 0.000
La 0.000 2.991 3.046
Rh 1.496 -1.157 4.568
Rh 1.834 1.496 1.523
Rh 1.496 4.149 -1.523
Rh 1.157 1.496 7.614
W 2.991 0.000 3.046
W 0.000 0.000 6.091
```

Output
* ΔE to the lowest computed polymorph: 858 meV per atom
* M_tot: 0.00 μB per formula unit
* ΔH_f (0 K): 2.654 eV per formula unit
* SG: I-42d (122)


# 4
Density functional theory data (PBE) for Sn2SbCl after structural relaxation.

extended XYZ file:
```
4
Lattice="0.000 3.758 3.758 3.758 0.000 3.758 3.758 3.758 0.000" Properties=species:S:1:pos:R:3 pbc="T T T"
Sn 1.879 1.879 1.879
Sn 5.636 5.636 5.636
Sb 0.000 0.000 0.000
Cl 3.758 3.758 3.758
```

Output
* ΔE to the lowest computed polymorph: 67 meV per atom
* M_tot: 0.00 μB per formula unit
* formation energy without anion corrections: -0.231 eV/atom
* SG: Fm-3m (225)


# 5
Density functional theory data (PBE) for TaP2PbO8 after structural relaxation.

extended XYZ file:
```
12
Lattice="4.217 -2.637 0.000 4.217 2.637 0.000 -0.430 0.000 7.771" Properties=species:S:1:pos:R:3 pbc="T T T"
Ta 0.000 0.000 0.000
P 2.928 0.000 1.752
P 5.078 0.000 6.019
Pb -0.215 0.000 3.886
O 3.795 1.286 1.549
O 1.871 0.000 0.601
O 4.210 1.286 6.222
O 2.334 0.000 3.149
O 5.671 0.000 4.623
O 3.795 -1.286 1.549
O 6.135 0.000 7.170
O 4.210 -1.286 6.222
```

Output
* M_tot: 1.01 μB per formula unit
* formation energy without anion corrections: -2.182 eV/atom
* SG: C2/m (12)


# 6
Density functional theory data (PBE) for Nd8Tm2Sc after structural relaxation.

extended XYZ file:
```
11
Lattice="8.341 -3.401 0.000 8.341 3.401 0.000 -1.347 0.000 6.521" Properties=species:S:1:pos:R:3 pbc="T T T"
Nd 0.410 0.000 5.996
Nd 6.165 1.754 3.981
Nd 3.330 0.000 4.337
Nd 9.170 1.754 2.540
Nd 6.165 -1.754 3.981
Nd 12.005 0.000 2.184
Nd 9.170 -1.754 2.540
Nd 14.925 0.000 0.525
Tm 5.001 0.000 1.216
Tm 10.334 0.000 5.305
Sc 8.341 0.000 0.000
```

Output
* ΔE to the lowest computed polymorph: 66 meV per atom
* M_tot: 0.00 μB per formula unit
* ΔH_f (0 K): 1.956 eV per formula unit
* SG: C2/m (12)